The following is a DFT calculation (PBE) of a geometry-optimized KNiSe2 structure.

Output
Calculated volume = 94 Å³/cell
Energy relative to the elements, uncorrected = -0.250 eV per atom

Geometry as CIF:
```
data_KNiSe2
_chemical_formula_sum 'K1 Ni1 Se2'
_cell_length_a 3.333
_cell_length_b 3.333
_cell_length_c 8.438
_cell_angle_alpha 90.00
_cell_angle_beta 90.00
_cell_angle_gamma 90.00
_space_group_name_H-M_alt 'P 4 m m'
_space_group_IT_number 99
loop_
_space_group_symop_operation_xyz
'x,y,z'
'-y,x,z'
'-x,-y,z'
'y,-x,z'
'-x,y,z'
'y,x,z'
'x,-y,z'
'-y,-x,z'
loop_
_atom_site_label
_atom_site_type_symbol
_atom_site_fract_x
_atom_site_fract_y
_atom_site_fract_z
K1 K 0.000 0.000 0.000
Ni1 Ni 0.500 0.500 0.463
Se1 Se 0.000 0.000 0.376
Se2 Se 0.500 0.500 0.743
```

---

The following is a DFT calculation (PBE) of a geometry-optimized KNiSe2 structure.

Output
Calculated volume = 104 Å³/cell
Energy relative to the elements, uncorrected = -0.273 eV per atom

Geometry as CIF:
```
data_KNiSe2
_chemical_formula_sum 'K1 Ni1 Se2'
_cell_length_a 3.089
_cell_length_b 4.180
_cell_length_c 8.060
_cell_angle_alpha 90.00
_cell_angle_beta 90.10
_cell_angle_gamma 90.00
_space_group_name_H-M_alt 'P 1 m 1'
_space_group_IT_number 6
loop_
_space_group_symop_operation_xyz
'x,y,z'
'x,-y,z'
loop_
_atom_site_label
_atom_site_type_symbol
_atom_site_fract_x
_atom_site_fract_y
_atom_site_fract_z
K1 K 0.000 0.000 0.000
Ni1 Ni 0.504 0.500 0.482
Se1 Se 0.499 0.500 0.763
Se2 Se 0.504 0.000 0.366
```

---

The following is a DFT calculation (PBE) of a geometry-optimized KNi4Se structure.

Output
Calculated volume = 365 Å³/cell
Energy relative to the elements, uncorrected = 0.453 eV per atom

Geometry as CIF:
```
data_KNi4Se
_chemical_formula_sum 'K4 Ni16 Se4'
_cell_length_a 7.150
_cell_length_b 7.150
_cell_length_c 7.150
_cell_angle_alpha 90.00
_cell_angle_beta 90.00
_cell_angle_gamma 90.00
_space_group_name_H-M_alt 'F -4 3 m'
_space_group_IT_number 216
_space_group_name_Hall 'F -4 2 3'
loop_
_atom_site_label
_atom_site_type_symbol
_atom_site_fract_x
_atom_site_fract_y
_atom_site_fract_z
K1 K 0.000 0.000 0.000
Ni1 Ni 0.124 0.124 0.624
Se1 Se 0.250 0.250 0.250
```

---

The following is a DFT calculation (PBE) of a geometry-optimized K3NiSe structure.

Output
Calculated volume = 245 Å³/cell
Energy relative to the elements, uncorrected = -0.055 eV per atom

Geometry as CIF:
```
data_K3NiSe
_chemical_formula_sum 'K3 Ni1 Se1'
_cell_length_a 6.254
_cell_length_b 6.254
_cell_length_c 6.254
_cell_angle_alpha 90.00
_cell_angle_beta 90.00
_cell_angle_gamma 90.00
_space_group_name_H-M_alt 'P m -3 m'
_space_group_IT_number 221
_space_group_name_Hall '-P 4 2 3'
loop_
_atom_site_label
_atom_site_type_symbol
_atom_site_fract_x
_atom_site_fract_y
_atom_site_fract_z
K1 K 0.000 0.000 0.500
Ni1 Ni 0.500 0.500 0.500
Se1 Se 0.000 0.000 0.000
```

---

The following is a DFT calculation (PBE) of a geometry-optimized KNiSe2 structure.

Output
Calculated volume = 99 Å³/cell
Energy relative to the elements, uncorrected = -0.148 eV per atom

Geometry as CIF:
```
data_KNiSe2
_chemical_formula_sum 'K1 Ni1 Se2'
_cell_length_a 3.247
_cell_length_b 3.247
_cell_length_c 9.361
_cell_angle_alpha 90.00
_cell_angle_beta 90.00
_cell_angle_gamma 90.00
_space_group_name_H-M_alt 'P 4 m m'
_space_group_IT_number 99
loop_
_space_group_symop_operation_xyz
'x,y,z'
'-y,x,z'
'-x,-y,z'
'y,-x,z'
'-x,y,z'
'y,x,z'
'x,-y,z'
'-y,-x,z'
loop_
_atom_site_label
_atom_site_type_symbol
_atom_site_fract_x
_atom_site_fract_y
_atom_site_fract_z
K1 K 0.000 0.000 0.000
Ni1 Ni 0.500 0.500 0.299
Se1 Se 0.000 0.000 0.367
Se2 Se 0.500 0.500 0.754
```

---

The following is a DFT calculation (PBE) of a geometry-optimized KNiSe2 structure.

Output
Calculated volume = 536 Å³/cell
Energy relative to the elements, uncorrected = -0.554 eV per atom

Geometry as CIF:
```
data_KNiSe2
_chemical_formula_sum 'K4 Ni4 Se8'
_cell_length_a 5.780
_cell_length_b 13.301
_cell_length_c 6.969
_cell_angle_alpha 90.00
_cell_angle_beta 90.00
_cell_angle_gamma 90.00
_space_group_name_H-M_alt 'C m c m'
_space_group_IT_number 63
_space_group_name_Hall '-C 2c 2'
loop_
_atom_site_label
_atom_site_type_symbol
_atom_site_fract_x
_atom_site_fract_y
_atom_site_fract_z
K1 K 0.000 0.164 0.250
Ni1 Ni 0.000 0.500 0.250
Se1 Se 0.000 0.386 0.000
```

---

The following is a DFT calculation (PBE) of a geometry-optimized KNiSe4 structure.

Output
Calculated volume = 560 Å³/cell
Energy relative to the elements, uncorrected = 0.389 eV per atom

Geometry as CIF:
```
data_KNiSe4
_chemical_formula_sum 'K4 Ni4 Se16'
_cell_length_a 8.241
_cell_length_b 8.241
_cell_length_c 8.241
_cell_angle_alpha 90.00
_cell_angle_beta 90.00
_cell_angle_gamma 90.00
_space_group_name_H-M_alt 'F -4 3 m'
_space_group_IT_number 216
_space_group_name_Hall 'F -4 2 3'
loop_
_atom_site_label
_atom_site_type_symbol
_atom_site_fract_x
_atom_site_fract_y
_atom_site_fract_z
K1 K 0.000 0.000 0.000
Ni1 Ni 0.250 0.250 0.750
Se1 Se 0.124 0.124 0.376
```

---

The following is a DFT calculation (PBE) of a geometry-optimized KNi3Se structure.

Output
Energy above the lowest structure with this stoichiometry = 0 meV per atom
Calculated volume = 94 Å³/cell
Energy relative to the elements, uncorrected = 0.317 eV per atom

Geometry as CIF:
```
data_KNi3Se
_chemical_formula_sum 'K1 Ni3 Se1'
_cell_length_a 4.542
_cell_length_b 4.542
_cell_length_c 4.542
_cell_angle_alpha 90.00
_cell_angle_beta 90.00
_cell_angle_gamma 90.00
_space_group_name_H-M_alt 'P m -3 m'
_space_group_IT_number 221
_space_group_name_Hall '-P 4 2 3'
loop_
_atom_site_label
_atom_site_type_symbol
_atom_site_fract_x
_atom_site_fract_y
_atom_site_fract_z
K1 K 0.000 0.000 0.000
Ni1 Ni 0.000 0.500 0.500
Se1 Se 0.500 0.500 0.500
```

---

The following is a DFT calculation (PBE) of a geometry-optimized K2SiNiSe4 structure.

Output
Calculated volume = 1936 Å³/cell
Energy relative to the elements, uncorrected = -0.694 eV per atom

Geometry as CIF:
```
data_K2SiNiSe4
_chemical_formula_sum 'K16 Si8 Ni8 Se32'
_cell_length_a 6.163
_cell_length_b 13.419
_cell_length_c 23.415
_cell_angle_alpha 90.00
_cell_angle_beta 90.00
_cell_angle_gamma 90.00
_space_group_name_H-M_alt 'F d d d'
_space_group_IT_number 70
loop_
_space_group_symop_operation_xyz
'x,y,z'
'-x,-y,-z'
'-x+1/4,-y+1/4,z'
'x+1/4,y+1/4,-z'
'x,-y+1/4,-z+1/4'
'-x,y+1/4,z+1/4'
'-x+1/4,y,-z+1/4'
'x+1/4,-y,z+1/4'
'x,y+1/2,z+1/2'
'-x,-y+1/2,-z+1/2'
'-x+1/4,-y+3/4,z+1/2'
'x+1/4,y+3/4,-z+1/2'
'x,-y+3/4,-z+3/4'
'-x,y+3/4,z+3/4'
'-x+1/4,y+1/2,-z+3/4'
'x+1/4,-y+1/2,z+3/4'
'x+1/2,y,z+1/2'
'-x+1/2,-y,-z+1/2'
'-x+3/4,-y+1/4,z+1/2'
'x+3/4,y+1/4,-z+1/2'
'x+1/2,-y+1/4,-z+3/4'
'-x+1/2,y+1/4,z+3/4'
'-x+3/4,y,-z+3/4'
'x+3/4,-y,z+3/4'
'x+1/2,y+1/2,z'
'-x+1/2,-y+1/2,-z'
'-x+3/4,-y+3/4,z'
'x+3/4,y+3/4,-z'
'x+1/2,-y+3/4,-z+1/4'
'-x+1/2,y+3/4,z+1/4'
'-x+3/4,y+1/2,-z+1/4'
'x+3/4,-y+1/2,z+1/4'
loop_
_atom_site_label
_atom_site_type_symbol
_atom_site_fract_x
_atom_site_fract_y
_atom_site_fract_z
K1 K 0.125 0.125 0.306
Si1 Si 0.125 0.125 0.625
Ni1 Ni 0.125 0.125 0.125
Se1 Se 0.110 0.280 0.823
```

---

The following is a DFT calculation (PBE) of a geometry-optimized KNiSnSe3 structure.

Output
Calculated volume = 335 Å³/cell
Energy relative to the elements, uncorrected = -0.567 eV per atom

Geometry as CIF:
```
data_KNiSnSe3
_chemical_formula_sum 'K2 Ni2 Sn2 Se6'
_cell_length_a 9.238
_cell_length_b 4.095
_cell_length_c 9.246
_cell_angle_alpha 90.00
_cell_angle_beta 106.76
_cell_angle_gamma 90.00
_space_group_name_H-M_alt 'P 1 21/m 1'
_space_group_IT_number 11
loop_
_space_group_symop_operation_xyz
'x,y,z'
'-x,-y,-z'
'-x,y+1/2,-z'
'x,-y+1/2,z'
loop_
_atom_site_label
_atom_site_type_symbol
_atom_site_fract_x
_atom_site_fract_y
_atom_site_fract_z
K1 K 0.185 0.250 0.233
Ni1 Ni 0.071 0.250 0.573
Sn1 Sn 0.336 0.750 0.858
Se1 Se 0.126 0.250 0.845
Se2 Se 0.192 0.750 0.544
Se3 Se 0.453 0.750 0.165
```

---

The following is a DFT calculation (PBE) of a geometry-optimized K4Th3NiSe8 structure.

Output
Calculated volume = 967 Å³/cell
Energy relative to the elements, uncorrected = -1.337 eV per atom

Geometry as CIF:
```
data_K4Th3NiSe8
_chemical_formula_sum 'K8 Th6 Ni2 Se16'
_cell_length_a 15.083
_cell_length_b 8.304
_cell_length_c 9.186
_cell_angle_alpha 90.00
_cell_angle_beta 122.78
_cell_angle_gamma 90.00
_space_group_name_H-M_alt 'C 1 2/m 1'
_space_group_IT_number 12
loop_
_space_group_symop_operation_xyz
'x,y,z'
'-x,-y,-z'
'-x,y,-z'
'x,-y,z'
'x+1/2,y+1/2,z'
'-x+1/2,-y+1/2,-z'
'-x+1/2,y+1/2,-z'
'x+1/2,-y+1/2,z'
loop_
_atom_site_label
_atom_site_type_symbol
_atom_site_fract_x
_atom_site_fract_y
_atom_site_fract_z
K1 K 0.000 0.000 0.000
K2 K 0.000 0.500 0.000
K3 K 0.250 0.250 0.000
Th1 Th 0.000 0.000 0.500
Th2 Th 0.250 0.250 0.500
Ni1 Ni 0.000 0.500 0.500
Se1 Se 0.017 0.268 0.309
Se2 Se 0.235 0.000 0.717
Se3 Se 0.248 0.000 0.277
```

---

The following is a DFT calculation (PBE) of a geometry-optimized K3Ti2NiSe6 structure.

Output
Calculated volume = 579 Å³/cell
Energy relative to the elements, uncorrected = -0.967 eV per atom

Geometry as CIF:
```
data_K3Ti2NiSe6
_chemical_formula_sum 'K6 Ti4 Ni2 Se12'
_cell_length_a 6.667
_cell_length_b 11.547
_cell_length_c 7.843
_cell_angle_alpha 90.00
_cell_angle_beta 106.47
_cell_angle_gamma 90.00
_space_group_name_H-M_alt 'C 1 2/m 1'
_space_group_IT_number 12
loop_
_space_group_symop_operation_xyz
'x,y,z'
'-x,-y,-z'
'-x,y,-z'
'x,-y,z'
'x+1/2,y+1/2,z'
'-x+1/2,-y+1/2,-z'
'-x+1/2,y+1/2,-z'
'x+1/2,-y+1/2,z'
loop_
_atom_site_label
_atom_site_type_symbol
_atom_site_fract_x
_atom_site_fract_y
_atom_site_fract_z
K1 K 0.000 0.000 0.000
K2 K 0.000 0.333 0.000
Ti1 Ti 0.000 0.166 0.500
Ni1 Ni 0.000 0.500 0.500
Se1 Se 0.227 0.334 0.684
Se2 Se 0.230 0.000 0.684
```

---

calculated volume of number 10 (KNiSnSe3)?
335 Å³/cell

---

The highest energy relative to the elements, uncorrected belongs to which entry?
KNi4Se